Entry 1:
A plane-wave DFT calculation with PBE-GGA was carried out for an optimized crystal structure of Na3Tm3USe8.

```
Na3Tm3USe8
1.0
8.1982 0.0000 0.0000
-4.0991 7.0981 -0.0280
0.0000 -4.7091 7.0584
Se Tm Na U
8 3 3 1
Direct
0.7583 0.0179 0.2765
0.7582 0.5165 0.2765
0.7403 0.9821 0.7235
0.7423 0.4846 0.7267
0.2418 0.4835 0.7235
0.2417 0.9821 0.7235
0.2597 0.0179 0.2765
0.2577 0.5154 0.2733
0.0000 0.5000 0.5000
0.5000 0.0000 0.5000
0.5000 0.5000 0.5000
0.0000 0.0000 0.0000
0.5000 0.5000 0.0000
0.0000 0.5000 0.0000
0.0000 0.0000 0.5000
```

## Properties
- ΔE_f (raw) (eV/f.u.) = -23.594
- V (Å³/cell) = 409.7

Entry 2:
A plane-wave DFT calculation with PBE-GGA was carried out for an optimized crystal structure of BaBeTl2.

```
BaBeTl2
1.0
-0.9264 2.9369 -3.7744
-4.4988 0.7910 1.7196
1.7282 3.9944 2.6838
Be Tl Ba
1 2 1
Direct
0.0000 0.5000 0.5000
0.5000 0.5000 0.0000
0.0000 0.0000 0.0000
0.5000 0.0000 0.5000
```

## Properties
- V (Å³/cell) = 121.6
- offset from the most stable computed form (eV per atom) = 0.2900
- energy relative to the elements (eV/atom) = 0.323